(1)
The following is a PBEsol calculation of an optimized crystal structure of MgIrBr2F, from Alexandria.

Values from the calculation:
The space group is P4/mmm, No. 123. As for the density of states at the Fermi level: 3.48 states/eV/f.u.

Lattice parameters (Å, degrees): 5.0855 5.0855 3.5261 90.00 90.00 90.00
Closest atoms and distances in Å follow each position.
Atoms (fractional coordinates):
Mg (0.0000, 0.0000, 0.0000)  2 F 1.76
Ir (0.5000, 0.5000, 0.5000)  8 Br 3.09
Br (0.0000, 0.5000, 0.0000)  2 Mg 2.54
Br (0.5000, 0.0000, 0.0000)  2 Mg 2.54
F (0.0000, 0.0000, 0.5000)  2 Mg 1.76

---

(2)
The following is a PBEsol calculation of an optimized crystal structure of IrSe2BrF, from Alexandria.

Values from the calculation:
The space group is P4/mmm, No. 123. As for the density of states at the Fermi level: 6.47 states/eV/f.u.

Lattice parameters (Å, degrees): 4.2062 4.2062 5.2625 90.00 90.00 90.00
Closest atoms and distances in Å follow each position.
Atoms (fractional coordinates):
Ir (0.0000, 0.0000, 0.0000)  4 Br 2.97
Se (0.0000, 0.5000, 0.5000)  2 F 2.10
Se (0.5000, 0.0000, 0.5000)  2 F 2.10
Br (0.5000, 0.5000, 0.0000)  2 F 2.63
F (0.5000, 0.5000, 0.5000)  4 Se 2.10

---

(3)
The following is a PBEsol calculation of an optimized crystal structure of KBrF4, from Alexandria.

Values from the calculation:
The space group is I4/mcm, No. 140. As for the density of states at the Fermi level: 0.00 states/eV/f.u.

Lattice parameters (Å, degrees): 7.0457 7.0457 7.0457 128.16 128.16 76.37
Closest atoms and distances in Å follow each position.
Atoms (fractional coordinates):
K (0.2500, 0.2500, 0.0000)  8 F 2.72
K (0.7500, 0.7500, 0.0000)  8 F 2.72
Br (0.0000, 0.5000, 0.5000)  4 F 1.92
Br (0.5000, 0.0000, 0.5000)  4 F 1.92
F (0.0331, 0.5331, 0.8113)  1 Br 1.92
F (0.2218, 0.0331, 0.5000)  1 Br 1.92
F (0.2782, 0.7782, 0.8113)  1 Br 1.92
F (0.4669, 0.2782, 0.5000)  1 Br 1.92
F (0.5331, 0.7218, 0.5000)  1 Br 1.92
F (0.7218, 0.2218, 0.1887)  1 Br 1.92
F (0.7782, 0.9669, 0.5000)  1 Br 1.92
F (0.9669, 0.4669, 0.1887)  1 Br 1.92

---

(4)
The following is a PBEsol calculation of an optimized crystal structure of KBrF2, from Alexandria.

Values from the calculation:
The space group is R-3m, No. 166. As for the density of states at the Fermi level: 0.00 states/eV/f.u.

Lattice parameters (Å, degrees): 6.4891 6.4891 6.4891 38.39 38.39 38.39
Closest atoms and distances in Å follow each position.
Atoms (fractional coordinates):
K (0.0000, 0.0000, 0.0000)  6 F 2.67
Br (0.5000, 0.5000, 0.5000)  2 F 1.98
F (0.3900, 0.3900, 0.3900)  1 Br 1.98
F (0.6100, 0.6100, 0.6100)  1 Br 1.98

---

(5)
The following is a PBEsol calculation of an optimized crystal structure of K2BrF, from Alexandria.

Values from the calculation:
The space group is I-42d, No. 122. As for the density of states at the Fermi level: 0.00 states/eV/f.u.

Lattice parameters (Å, degrees): 6.7460 6.7460 6.7460 113.02 113.02 102.58
Closest atoms and distances in Å follow each position.
Atoms (fractional coordinates):
K (0.0514, 0.6250, 0.9264)  2 F 2.51
K (0.3750, 0.3014, 0.4264)  2 F 2.51
K (0.6986, 0.1250, 0.0736)  2 F 2.51
K (0.8750, 0.9486, 0.5736)  2 F 2.51
Br (0.2500, 0.7500, 0.5000)  4 K 3.22
Br (0.5000, 0.5000, 0.0000)  4 K 3.22
F (0.0000, 0.0000, 0.0000)  4 K 2.51
F (0.7500, 0.2500, 0.5000)  4 K 2.51

---

(6)
The following is a PBEsol calculation of an optimized crystal structure of KTcBrF2, from Alexandria.

Values from the calculation:
The space group is P4/mmm, No. 123. As for the density of states at the Fermi level: 3.99 states/eV/f.u.

Lattice parameters (Å, degrees): 4.7758 4.7758 5.7138 90.00 90.00 90.00
Closest atoms and distances in Å follow each position.
Atoms (fractional coordinates):
K (0.0000, 0.0000, 0.0000)  2 Br 2.86
Tc (0.5000, 0.5000, 0.0000)  4 K 3.38, 8 F 3.72
Br (0.0000, 0.0000, 0.5000)  4 F 2.39
F (0.0000, 0.5000, 0.5000)  2 Br 2.39
F (0.5000, 0.0000, 0.5000)  2 Br 2.39

---

Number 1: uncorrected energy -3.914 eV/atom. Number 2: uncorrected energy -3.223 eV/atom. Number 3: uncorrected energy -3.500 eV/atom. Number 4: uncorrected energy -3.495 eV/atom. Number 5: uncorrected energy -3.667 eV/atom. Number 6: uncorrected energy -3.065 eV/atom.